MoP2O2 (GGA+U, relaxed); volume = 12.7 A^3/atom; space group = P4/mmm; ΔE to the lowest computed polymorph = 0.1344 eV per atom; DFT total energy = -5.796 eV/atom
1.0
3.5731 0.0000 0.0000
0.0000 3.5731 0.0000
0.0000 0.0000 4.9844
Mo P O
1 2 2
Direct
0.0000 0.0000 0.0000
0.5000 0.5000 0.0000
0.5000 0.5000 0.5000
0.0000 0.5000 0.5000
0.5000 0.0000 0.5000